Entry 1:
GdMgAgTe3 | OQMD | GGA-PBE | optimized geometry; magnetization = 0.0 μB/cell; E above lowest polymorph = 0.0 kJ/mol of formula units
1.0
-1.801 -0.401 8.082
2.842 -3.058 0.481
7.441 6.878 -0.228
Te Mg Ag Gd
6 2 2 2
Direct
0.447 0.750 0.653
0.100 0.250 0.356
0.209 0.250 0.992
0.553 0.250 0.347
0.900 0.750 0.644
0.791 0.750 0.008
0.713 0.250 0.784
0.287 0.750 0.216
0.409 0.750 0.919
0.591 0.250 0.081
0.182 0.250 0.679
0.818 0.750 0.321

Entry 2:
GdYMg2Ag4 | OQMD | GGA-PBE | optimized geometry; magnetization = 0.0 μB/cell; E_tot = -3.502 eV/atom
1.0
-3.621 -2.260 -2.502
-2.478 -2.631 5.962
-2.876 3.985 0.563
Ag Mg Y Gd
4 2 1 1
Direct
0.000 0.250 0.254
0.500 0.250 0.746
0.500 0.750 0.746
0.000 0.750 0.254
0.000 0.000 0.752
0.500 0.500 0.248
0.500 0.000 0.247
0.000 0.500 0.753

Number 1: calculated density 6.47 g/cm3. Number 2: calculated density 7.07 g/cm3.